Here is a relaxed structure of Li2MgCuF from Alexandria. Energies are from PBEsol.

abc: 3.760 5.065 5.065
angles: 90.00 90.00 90.00
Sites, in units of the cell vectors:
F1 0.500 0.000 0.000
Mg1 0.500 0.500 0.500
Li1 0.000 0.500 0.000
Cu1 0.000 0.000 0.000
Li2 0.000 0.000 0.500

## Properties
The calculated volume comes out at 96 Å³/cell. The calculation puts the density of states at the Fermi level at 2.1 states/eV/f.u. Its space group is P4/mmm, No. 123. Its energy is -2.62 eV per atom.